No. 1
18
Lattice="-2.714 -9.294 -2.419 -1.064 -6.411 -7.574 3.225 -8.645 -3.803" Properties=species:S:1:pos:R:3 comment="LiCa2Ga3Cu12 (PBE-GGA, optimized geometry)" spacegroup="No. 166" ef_kj_per_mol_fu=214 total_energy_ev_per_fu=-61.94 pbc="T T T"
Cu 0.101 -11.594 -5.004
Cu -1.633 -7.072 -2.333
Cu -1.601 -10.708 -6.501
Cu 1.080 -17.278 -11.463
Cu 0.109 -18.973 -8.431
Cu 1.860 -6.690 -3.146
Cu -0.654 -12.755 -8.791
Cu -1.309 -13.900 -6.745
Cu 0.756 -10.450 -7.050
Cu 1.048 -13.642 -7.294
Cu -2.413 -17.659 -10.649
Cu -0.662 -5.376 -5.364
Ga -0.532 -3.205 -3.787
Ga 1.612 -4.322 -1.901
Ga -1.357 -4.647 -1.210
Ca -0.359 -15.820 -8.963
Ca -0.194 -8.529 -4.832
Li 0.000 0.000 0.000


No. 2
14
Lattice="6.895 0.000 0.000 3.447 5.971 0.000 3.447 1.990 8.024" Properties=species:S:1:pos:R:3 comment="Ce3IN3 (PBE-GGA, optimized geometry)" spacegroup="No. 148" total_energy_ev_per_fu=-54.55 e_form_raw_ev_per_atom=-1.46 pbc="T T T"
Ce 8.070 5.948 5.371
Ce 9.186 3.946 2.653
Ce 8.011 1.979 5.371
Ce 5.719 2.013 2.653
Ce 5.779 5.983 2.653
Ce 4.603 4.015 5.371
N 8.004 1.962 3.074
N 5.701 2.010 4.951
N 8.088 5.951 3.074
N 4.592 4.029 3.074
N 5.785 5.999 4.951
N 9.198 3.932 4.951
I 10.342 5.971 8.023
I 3.447 1.990 0.002


No. 3
4
Lattice="3.140 0.000 0.000 0.000 3.140 0.000 0.000 0.000 10.201" Properties=species:S:1:pos:R:3 comment="ZnTe (PBE-GGA, optimized geometry)" spacegroup="No. 129" total_energy_ev_per_fu=-4.09 e_form_raw_ev_per_atom=0.16 pbc="T T T"
Te 0.785 0.785 1.909
Te 2.355 2.355 8.292
Zn 0.785 0.785 5.881
Zn 2.355 2.355 4.320


No. 4
5
Lattice="-4.219 0.555 2.150 -1.935 -3.182 -2.977 1.057 -3.408 2.955" Properties=species:S:1:pos:R:3 comment="Sb2TeHN (PBE-GGA, optimized geometry)" relative_energy_mev_per_atom=0 spacegroup="No. 123" total_energy_ev_per_fu=-17.77 pbc="T T T"
Te 0.529 -1.704 1.478
N 0.000 0.000 0.000
Sb -2.110 0.278 1.075
Sb -0.968 -1.591 -1.488
H -2.549 -3.017 1.064


- Number 2 is which compound?
  Ce3IN3